Density functional theory data (PBE) for PmTmPd3 after structural relaxation.

Computed properties:
**Total DFT energy (no corrections)**: -115.21 eV/cell

Cell lengths 5.622, 8.019, 9.806 Å; angles 109.12, 90.00, 90.00 degrees
Fractional positions:
Pm (0.255, 0.609, 0.458)
Pm (0.745, 0.391, 0.542)
Pm (0.245, 0.109, 0.958)
Pm (0.755, 0.891, 0.042)
Tm (0.815, 0.553, 0.188)
Tm (0.315, 0.947, 0.312)
Tm (0.185, 0.447, 0.812)
Tm (0.685, 0.053, 0.688)
Pd (0.250, 0.268, 0.519)
Pd (0.250, 0.768, 0.019)
Pd (0.532, 0.247, 0.251)
Pd (0.032, 0.253, 0.249)
Pd (0.468, 0.753, 0.749)
Pd (0.750, 0.732, 0.481)
Pd (0.819, 0.000, 0.366)
Pd (0.181, 0.000, 0.634)
Pd (0.750, 0.232, 0.981)
Pd (0.968, 0.747, 0.751)
Pd (0.681, 0.500, 0.866)
Pd (0.319, 0.500, 0.134)

=====

Density functional theory data (PBE) for PmTm2Pd2 after structural relaxation.

Computed properties:
**Energy relative to the lowest polymorph listed for this composition**: 0.060 eV per atom

Cell lengths 4.912, 7.800, 7.797 Å; angles 66.13, 71.68, 71.68 degrees
Fractional positions:
Pm (0.750, 0.750, 0.250)
Pm (0.250, 0.250, 0.750)
Tm (0.419, 0.415, 0.248)
Tm (0.919, 0.915, 0.748)
Tm (0.081, 0.085, 0.252)
Tm (0.581, 0.585, 0.752)
Pd (0.346, 0.821, 0.987)
Pd (0.846, 0.321, 0.488)
Pd (0.654, 0.179, 0.013)
Pd (0.154, 0.679, 0.512)

=====

Density functional theory data (PBE) for Pm2TmPd after structural relaxation.

Computed properties:
**Energy relative to the lowest polymorph listed for this composition**: 0.443 eV per atom

Cell lengths 3.456, 3.456, 11.379 Å; angles 81.26, 81.26, 60.00 degrees
Fractional positions:
Tm (0.500, 0.500, 0.500)
Pd (0.000, 0.000, 0.000)
Pm (0.080, 0.080, 0.761)
Pm (0.920, 0.920, 0.239)

=====

Density functional theory data (PBE) for PmTm2Pd after structural relaxation.

Computed properties:
**Energy relative to the lowest polymorph listed for this composition**: 0.029 eV per atom

Cell lengths 3.539, 3.539, 8.499 Å; angles 90.00, 90.00, 90.00 degrees
Fractional positions:
Tm (0.000, 0.000, 0.806)
Tm (0.000, 0.000, 0.194)
Pd (0.500, 0.500, 0.000)
Pm (0.500, 0.500, 0.500)

=====

Density functional theory data (PBE) for PmTm4Pd4 after structural relaxation.

Computed properties:
**Total DFT energy (no corrections)**: -99.22 eV/cell

Cell lengths 5.688, 9.021, 9.021 Å; angles 90.00, 90.00, 90.00 degrees
Fractional positions:
Pm (0.000, 0.000, 0.000)
Pm (0.500, 0.500, 0.500)
Tm (0.413, 0.330, 0.903)
Tm (0.913, 0.597, 0.830)
Tm (0.413, 0.670, 0.097)
Tm (0.087, 0.170, 0.597)
Tm (0.587, 0.903, 0.670)
Tm (0.087, 0.830, 0.403)
Tm (0.913, 0.403, 0.170)
Tm (0.587, 0.097, 0.330)
Pd (0.588, 0.789, 0.370)
Pd (0.588, 0.211, 0.630)
Pd (0.088, 0.870, 0.711)
Pd (0.912, 0.289, 0.870)
Pd (0.912, 0.711, 0.130)
Pd (0.412, 0.370, 0.211)
Pd (0.412, 0.630, 0.789)
Pd (0.088, 0.130, 0.289)

=====

Density functional theory data (PBE) for Pm2TmPd after structural relaxation.

Computed properties:
**Energy relative to the lowest polymorph listed for this composition**: 0.055 eV per atom

Cell lengths 3.695, 3.695, 9.952 Å; angles 89.99, 89.99, 59.88 degrees
Fractional positions:
Pm (0.954, 0.954, 0.532)
Pm (0.622, 0.622, 0.227)
Tm (0.622, 0.622, 0.834)
Pd (0.289, 0.289, 0.018)

=====

Number 1: size of the total moment 0.00 Bohr magnetons per cell. Number 2: size of the total moment 0.00 Bohr magnetons per cell. Number 3: size of the total moment 0.00 Bohr magnetons per cell. Number 4: size of the total moment 0.00 Bohr magnetons per cell. Number 5: size of the total moment 0.00 Bohr magnetons per cell. Number 6: size of the total moment 0.00 Bohr magnetons per cell.